w | DFT (PBE) results for DyTiCo2 after structural relaxation.

POSCAR file:
```
DyTiCo2
1.0
-4.421 -0.435 -0.584
-2.300 -2.973 2.438
-2.829 1.415 3.174
Ti Dy Co
1 1 2
direct
0.500 0.500 0.500
0.000 0.000 0.000
0.750 0.750 0.750
0.250 0.250 0.250
```

DOS(E_F): 3.20 states/eV/cell
total magnetic moment: 1.17 Bohr magnetons per cell
ρ: 8.57 g/cm3


x | DFT (PBE) results for DyTiCo2 after structural relaxation.

POSCAR file:
```
DyTiCo2
1.0
-0.458 -2.556 1.670
2.058 0.989 2.078
-4.811 3.032 3.322
Co Ti Dy
2 1 1
direct
0.000 0.000 0.794
0.000 0.000 0.206
0.500 0.500 0.000
0.500 0.500 0.500
```

DOS(E_F): 3.03 states/eV/cell
total magnetic moment: 0.90 Bohr magnetons per cell
ρ: 8.68 g/cm3


Which structure is the least stable? The one labeled w.


w | DFT (PBE) results for Dy3TlCo after structural relaxation.

POSCAR file:
```
Dy3TlCo
1.0
0.467 5.898 -0.902
-2.767 3.339 4.124
5.724 3.710 5.572
Co Dy Tl
2 6 2
direct
0.310 0.690 0.000
0.690 0.310 0.000
0.316 0.316 0.878
0.305 0.305 0.304
0.695 0.695 0.696
0.975 0.975 0.214
0.025 0.025 0.786
0.684 0.684 0.122
0.273 0.727 0.500
0.727 0.273 0.500
```

DOS(E_F): 10.14 states/eV/cell
total magnetic moment: 0.00 Bohr magnetons per cell
ρ: 9.66 g/cm3


x | DFT (PBE) results for Dy3TlCo after structural relaxation.

POSCAR file:
```
Dy3TlCo
1.0
5.147 0.000 0.000
0.000 5.147 0.000
0.000 0.000 5.147
Co Dy Tl
1 3 1
direct
0.000 0.000 0.000
0.000 0.500 0.000
0.500 0.000 0.000
0.000 0.000 0.500
0.500 0.500 0.500
```

DOS(E_F): 6.15 states/eV/cell
total magnetic moment: 0.00 Bohr magnetons per cell
ρ: 9.14 g/cm3


Which structure is the least stable? The one labeled x.


w | DFT (PBE) results for Dy2TmCo after structural relaxation.

POSCAR file:
```
Dy2TmCo
1.0
-0.036 0.116 3.676
-5.149 -2.919 -1.799
4.488 -8.101 0.299
Co Tm Dy
2 2 4
direct
0.253 0.505 0.750
0.747 0.495 0.250
0.585 0.169 0.750
0.415 0.831 0.250
0.860 0.721 0.929
0.140 0.279 0.071
0.860 0.721 0.571
0.140 0.279 0.429
```

DOS(E_F): 9.54 states/eV/cell
total magnetic moment: 0.00 Bohr magnetons per cell
ρ: 9.12 g/cm3


x | DFT (PBE) results for Dy2TmCo after structural relaxation.

POSCAR file:
```
Dy2TmCo
1.0
6.168 0.000 0.000
0.000 6.920 0.000
0.000 0.000 9.395
Tm Dy Co
4 8 4
direct
0.644 0.543 0.250
0.356 0.457 0.750
0.856 0.043 0.250
0.144 0.957 0.750
0.323 0.176 0.432
0.177 0.676 0.432
0.677 0.824 0.568
0.823 0.324 0.932
0.677 0.824 0.932
0.823 0.324 0.568
0.323 0.176 0.068
0.177 0.676 0.068
0.046 0.387 0.250
0.954 0.613 0.750
0.546 0.113 0.750
0.454 0.887 0.250
```

DOS(E_F): 18.38 states/eV/cell
total magnetic moment: 0.00 Bohr magnetons per cell
ρ: 9.16 g/cm3


y | DFT (PBE) results for Dy2TmCo after structural relaxation.

POSCAR file:
```
Dy2TmCo
1.0
3.410 0.000 0.000
0.000 3.410 0.000
0.000 0.000 8.651
Tm Co Dy
1 1 2
direct
0.500 0.500 0.500
0.500 0.500 0.000
0.000 0.000 0.187
0.000 0.000 0.813
```

DOS(E_F): 4.85 states/eV/cell
total magnetic moment: 1.27 Bohr magnetons per cell
ρ: 9.13 g/cm3


z | DFT (PBE) results for Dy2TmCo after structural relaxation.

POSCAR file:
```
Dy2TmCo
1.0
-1.054 0.999 3.232
-3.367 -0.483 0.994
0.932 -9.094 5.058
Dy Co Tm
2 1 1
direct
0.888 0.888 0.337
0.112 0.112 0.663
0.500 0.500 0.500
0.000 0.000 0.000
```

DOS(E_F): 5.63 states/eV/cell
total magnetic moment: 0.07 Bohr magnetons per cell
ρ: 8.24 g/cm3


Which structure is the least stable? The one labeled z.


w | DFT (PBE) results for DyTmCo after structural relaxation.

POSCAR file:
```
DyTmCo
1.0
-1.345 2.763 2.487
-0.978 -4.208 4.147
6.402 3.200 -0.095
Tm Dy Co
2 2 2
direct
0.000 0.494 0.252
0.000 0.506 0.748
0.500 0.003 0.249
0.500 0.997 0.751
0.000 0.000 0.000
0.500 0.500 0.500
```

DOS(E_F): 5.97 states/eV/cell
total magnetic moment: 0.00 Bohr magnetons per cell
ρ: 8.67 g/cm3


x | DFT (PBE) results for DyTmCo after structural relaxation.

POSCAR file:
```
DyTmCo
1.0
3.340 0.000 0.000
0.000 3.340 0.000
-1.670 -1.670 6.247
Dy Co Tm
1 1 1
direct
0.296 0.296 0.592
0.665 0.665 0.330
0.039 0.039 0.078
```

DOS(E_F): 1.94 states/eV/cell
total magnetic moment: 0.68 Bohr magnetons per cell
ρ: 9.30 g/cm3


Which structure is the least stable? The one labeled w.


w | DFT (PBE) results for DyTmCo after structural relaxation.

POSCAR file:
```
DyTmCo
1.0
3.830 0.000 0.000
-1.915 3.317 0.000
0.000 0.000 6.145
Co Dy Tm
1 1 1
direct
0.667 0.333 0.335
0.000 0.000 0.100
0.333 0.667 0.565
```

DOS(E_F): 2.84 states/eV/cell
total magnetic moment: 0.00 Bohr magnetons per cell
ρ: 8.31 g/cm3


x | DFT (PBE) results for DyTmCo after structural relaxation.

POSCAR file:
```
DyTmCo
1.0
-0.993 3.227 3.200
-4.279 1.813 0.225
-2.786 -1.050 3.575
Dy Co Tm
1 1 1
direct
0.000 0.000 0.000
0.250 0.250 0.250
0.500 0.500 0.500
```

DOS(E_F): 3.16 states/eV/cell
total magnetic moment: 0.00 Bohr magnetons per cell
ρ: 9.10 g/cm3


y | DFT (PBE) results for DyTmCo after structural relaxation.

POSCAR file:
```
DyTmCo
1.0
-2.955 -0.394 1.503
-0.550 -6.100 -2.672
4.476 -0.719 4.910
Tm Dy Co
2 2 2
direct
0.567 0.115 0.900
0.311 0.989 0.389
0.568 0.617 0.902
0.310 0.487 0.386
0.938 0.806 0.643
0.939 0.298 0.646
```

DOS(E_F): 4.18 states/eV/cell
total magnetic moment: 1.31 Bohr magnetons per cell
ρ: 9.30 g/cm3


Which structure is the least stable? The one labeled w.


w | DFT (PBE) results for DyTm3Co2 after structural relaxation.

POSCAR file:
```
DyTm3Co2
1.0
3.647 0.000 0.735
1.532 7.941 1.811
-0.081 -0.012 9.817
Dy Tm Co
2 6 4
direct
0.842 0.572 0.744
0.158 0.428 0.256
0.841 0.072 0.246
0.159 0.928 0.754
0.584 0.269 0.563
0.416 0.731 0.437
0.584 0.774 0.058
0.416 0.226 0.942
0.232 0.083 0.452
0.767 0.417 0.049
0.233 0.583 0.951
0.768 0.917 0.548
```

DOS(E_F): 14.39 states/eV/cell
total magnetic moment: 0.00 Bohr magnetons per cell
ρ: 9.18 g/cm3


x | DFT (PBE) results for DyTm3Co2 after structural relaxation.

POSCAR file:
```
DyTm3Co2
1.0
-0.233 3.363 2.062
-3.856 -2.154 6.862
7.109 -1.367 6.818
Dy Tm Co
2 6 4
direct
0.579 0.519 0.322
0.421 0.481 0.678
0.055 0.107 0.784
0.784 0.843 0.588
0.216 0.157 0.412
0.327 0.305 0.041
0.673 0.695 0.959
0.945 0.893 0.216
0.616 0.182 0.586
0.865 0.408 0.861
0.384 0.818 0.414
0.135 0.592 0.139
```

DOS(E_F): 10.06 states/eV/cell
total magnetic moment: 0.00 Bohr magnetons per cell
ρ: 8.83 g/cm3


Which structure is the least stable? The one labeled x.


w | DFT (PBE) results for DyUCo4 after structural relaxation.

POSCAR file:
```
DyUCo4
1.0
4.973 0.000 0.000
2.486 4.307 0.000
2.486 1.436 4.060
Dy U Co
1 1 4
direct
0.000 0.000 0.000
0.250 0.250 0.250
0.126 0.625 0.625
0.625 0.625 0.126
0.625 0.625 0.625
0.625 0.126 0.625
```

DOS(E_F): 9.85 states/eV/cell
total magnetic moment: 0.10 Bohr magnetons per cell
ρ: 12.15 g/cm3


x | DFT (PBE) results for DyUCo4 after structural relaxation.

POSCAR file:
```
DyUCo4
1.0
6.536 0.000 2.027
0.000 6.050 0.000
0.404 -3.025 4.789
Co Dy U
8 2 2
direct
0.000 0.799 0.000
0.422 0.111 0.790
0.251 0.761 0.523
0.749 0.239 0.477
0.000 0.201 0.000
0.578 0.321 0.210
0.578 0.889 0.210
0.422 0.679 0.790
0.196 0.197 0.394
0.804 0.803 0.606
0.244 0.528 0.057
0.756 0.472 0.943
```

DOS(E_F): 12.54 states/eV/cell
total magnetic moment: 0.00 Bohr magnetons per cell
ρ: 11.46 g/cm3


Which structure is the least stable? The one labeled x.


w | DFT (PBE) results for DyYCo after structural relaxation.

POSCAR file:
```
DyYCo
1.0
-2.753 2.134 1.665
-0.574 -3.771 -0.591
2.421 -1.245 5.600
Y Co Dy
1 1 1
direct
0.000 0.000 0.100
0.667 0.333 0.335
0.333 0.667 0.565
```

DOS(E_F): 2.83 states/eV/cell
total magnetic moment: 0.00 Bohr magnetons per cell
ρ: 6.41 g/cm3


x | DFT (PBE) results for DyYCo after structural relaxation.

POSCAR file:
```
DyYCo
1.0
-1.795 -3.272 -0.299
4.987 -2.704 -0.350
-0.666 -0.283 7.101
Y Co Dy
2 2 2
direct
0.750 0.810 0.672
0.250 0.190 0.328
0.750 0.131 0.039
0.250 0.869 0.961
0.250 0.340 0.832
0.750 0.660 0.168
```

DOS(E_F): 7.07 states/eV/cell
total magnetic moment: 0.00 Bohr magnetons per cell
ρ: 6.84 g/cm3


y | DFT (PBE) results for DyYCo after structural relaxation.

POSCAR file:
```
DyYCo
1.0
3.375 0.000 0.000
0.000 3.375 0.000
-1.687 -1.687 6.325
Y Dy Co
1 1 1
direct
0.295 0.295 0.591
0.039 0.039 0.078
0.666 0.666 0.331
```

DOS(E_F): 1.97 states/eV/cell
total magnetic moment: 0.70 Bohr magnetons per cell
ρ: 7.15 g/cm3


z | DFT (PBE) results for DyYCo after structural relaxation.

POSCAR file:
```
DyYCo
1.0
-2.789 1.958 0.696
-0.112 -1.878 4.834
5.978 4.720 1.974
Dy Y Co
2 2 2
direct
0.722 0.025 0.130
0.138 0.525 0.963
0.859 0.525 0.408
0.001 0.025 0.685
0.358 0.025 0.400
0.503 0.526 0.693
```

DOS(E_F): 4.08 states/eV/cell
total magnetic moment: 0.00 Bohr magnetons per cell
ρ: 7.44 g/cm3


Which structure is the least stable? The one labeled w.


w | DFT (PBE) results for DyYCo2 after structural relaxation.

POSCAR file:
```
DyYCo2
1.0
-2.699 1.337 3.649
-4.558 1.062 -0.693
-3.376 -2.887 1.628
Co Y Dy
2 1 1
direct
0.750 0.750 0.750
0.250 0.250 0.250
0.500 0.500 0.500
0.000 0.000 0.000
```

DOS(E_F): 0.92 states/eV/cell
total magnetic moment: 0.66 Bohr magnetons per cell
ρ: 8.19 g/cm3


x | DFT (PBE) results for DyYCo2 after structural relaxation.

POSCAR file:
```
DyYCo2
1.0
3.868 0.000 0.000
0.000 5.545 0.000
0.000 0.000 7.517
Dy Co Y
2 4 2
direct
0.500 0.366 0.322
0.500 0.634 0.822
0.500 0.845 0.474
0.500 0.155 0.974
0.000 0.350 0.027
0.000 0.650 0.527
0.000 0.134 0.678
0.000 0.866 0.178
```

DOS(E_F): 8.61 states/eV/cell
total magnetic moment: 0.57 Bohr magnetons per cell
ρ: 7.61 g/cm3


Which structure is the least stable? The one labeled w.


w | DFT (PBE) results for DyY2Co2 after structural relaxation.

POSCAR file:
```
DyY2Co2
1.0
-1.981 -1.393 -3.070
3.534 -3.478 -3.192
-0.610 -5.833 0.550
Co Y Dy
2 2 1
direct
0.001 0.187 0.311
0.999 0.813 0.689
0.694 0.806 0.306
0.306 0.194 0.694
0.500 0.500 0.000
```

DOS(E_F): 5.25 states/eV/cell
total magnetic moment: 0.00 Bohr magnetons per cell
ρ: 6.89 g/cm3


x | DFT (PBE) results for DyY2Co2 after structural relaxation.

POSCAR file:
```
DyY2Co2
1.0
5.834 0.000 0.000
-2.917 5.360 0.328
0.000 -1.953 7.047
Y Dy Co
4 2 4
direct
0.773 0.315 0.651
0.458 0.685 0.849
0.227 0.685 0.349
0.542 0.315 0.151
0.090 0.000 0.750
0.910 0.000 0.250
0.020 0.329 0.012
0.980 0.671 0.988
0.691 0.671 0.488
0.309 0.329 0.512
```

DOS(E_F): 8.06 states/eV/cell
total magnetic moment: 0.00 Bohr magnetons per cell
ρ: 6.79 g/cm3


Which structure is the least stable? The one labeled w.